A geometry-optimized KGaMoO4 structure. Source: Alexandria via LeMat-Bulk, functional PBE with a Hubbard U.

Computed properties:
* mass density: 4.12 Mg/m³
* electronic total energy: -84.96 eV per cell

Cell: 5.5323 5.5744 7.9768 Å, 90.00 118.26 90.00°
Site moments in Bohr magnetons follow the coordinates.
Fractional positions:
K (0.4713, 0.2500, 0.1069)  0.00
O (0.9693, 0.5143, 0.3293)  0.01
Ga (0.2209, 0.7500, 0.3306)  0.03
O (0.5724, 0.2500, 0.7964)  0.00
Mo (0.2044, 0.2500, 0.5407)  1.88
O (0.0307, 0.4857, 0.6707)  0.01
O (0.5390, 0.7500, 0.5699)  -0.01
Mo (0.7956, 0.7500, 0.4593)  1.88
K (0.5287, 0.7500, 0.8931)  0.00
O (0.4610, 0.2500, 0.4301)  -0.01
Ga (0.7791, 0.2500, 0.6694)  0.03
O (0.9693, 0.9857, 0.3293)  0.01
O (0.4276, 0.7500, 0.2036)  0.00
O (0.0307, 0.0143, 0.6707)  0.01